one | VASP calculation (PBE) on a geometry-optimized CdRu3N structure.

Lattice parameters (Å, degrees): 4.0928 4.0928 4.0928 90.00 90.00 90.00
Last column: nearest neighbours and their distance in Å.
Fractional positions:
1 Cd 0.0000 0.0000 0.0000  12 Ru 2.89
2 Ru 0.0000 0.5000 0.5000  2 N 2.05
3 Ru 0.5000 0.0000 0.5000  2 N 2.05
4 Ru 0.5000 0.5000 0.0000  2 N 2.05
5 N 0.5000 0.5000 0.5000  6 Ru 2.05



two | VASP calculation (PBE) on a geometry-optimized CdRu3N structure.

Lattice parameters (Å, degrees): 4.9937 4.9937 4.9937 90.00 90.00 90.00
Last column: nearest neighbours and their distance in Å.
Fractional positions:
1 Cd 0.0000 0.0000 0.0000  6 Ru 2.50
2 Ru 0.0000 0.0000 0.5000  2 Cd 2.50
3 Ru 0.0000 0.5000 0.0000  2 Cd 2.50
4 Ru 0.5000 0.0000 0.0000  2 Cd 2.50
5 N 0.5000 0.5000 0.5000  12 Ru 3.53



Which one sits at the bottom of the stability order? two does.